No. 1
The following is a PBE-GGA calculation of a relaxed structure of Dy2TcN, from the Alexandria database.

Geometry as extended XYZ:
```
4
Lattice="-1.594 -1.244 -2.740 1.292 -2.685 -1.648 -3.893 -5.715 2.743" Properties=species:S:1:pos:R:3 pbc="T T T"
N -2.097 -4.822 -0.823
Tc 0.000 0.000 0.000
Dy -1.246 -2.640 -0.193
Dy -2.949 -7.004 -1.452
```

Properties
Fermi-level density of states = 0.711 states/eV/atom
raw total energy = -7.524 eV/atom
formation energy without anion corrections = -0.550 eV/atom
SG = No. 166
crystal system = trigonal

***

No. 2
The following is a PBE-GGA calculation of a relaxed structure of La2AgTe, from the Alexandria database.

Geometry as extended XYZ:
```
8
Lattice="8.360 0.000 0.000 0.000 8.360 0.000 4.180 4.180 3.762" Properties=species:S:1:pos:R:3 pbc="T T T"
Te 0.000 0.000 0.000
Te 8.360 4.180 1.881
Ag 4.180 4.180 0.000
Ag 4.180 8.360 1.881
La 6.158 2.090 0.941
La 2.202 6.270 0.941
La 6.270 6.382 2.822
La 10.450 10.338 2.822
```

Properties
Fermi-level density of states = 1.193 states/eV/atom
raw total energy = -4.549 eV/atom
formation energy without anion corrections = -0.587 eV/atom
SG = No. 122
crystal system = tetragonal